[1]
Entry from Alexandria: an optimized crystal structure of SnGeAs2 (PBE).

Computed properties:
The energy of formation is 280 meV per atom. The volume comes out at 21.078 A^3/atom. The calculation puts the energy above the most stable polymorph in this dataset at 275 meV/atom. For the calculated total energy, the calculation gives -4.2000 eV/atom. For the theoretical density, the calculation gives 6.7 g/cm3.

Cell: 6.9607 6.9607 6.9607 Å, 90.00 90.00 90.00°
Space group Fm-3m (No. 225)
Symmetry-distinct sites (fractional):
Sn  0.0000  0.0000  0.0000 x4
Ge  0.0000  0.0000  0.5000 x4
As  0.2500  0.2500  0.2500 x8

[2]
Entry from Alexandria: an optimized crystal structure of SmSc2Ag2 (PBE).

Computed properties:
The energy of formation is -184 meV per atom. The volume comes out at 23.217 A^3/atom. For the calculated total energy, the calculation gives -4.8013 eV/atom. For the theoretical density, the calculation gives 6.5 g/cm3.

Cell: 3.4808 5.1325 13.1114 Å, 90.00 97.61 90.00°
Space group P2_1/m (No. 11)
Symmetry-distinct sites (fractional):
Sm  0.1460  0.2500  0.2914 x2
Sc  0.0476  0.7500  0.0952 x2
Sc  0.2364  0.7500  0.4725 x2
Ag  0.3560  0.2500  0.7127 x2
Ag  0.4590  0.7500  0.9177 x2

[3]
Entry from Alexandria: an optimized crystal structure of MnFe2Rh (PBE).

Computed properties:
The energy of formation is -33 meV per atom. The volume comes out at 12.514 A^3/atom. For the calculated total energy, the calculation gives -8.3951 eV/atom. For the theoretical density, the calculation gives 8.9 g/cm3.

Cell: 3.7079 3.7079 7.2818 Å, 90.00 90.00 90.00°
Space group I-4m2 (No. 119)
Symmetry-distinct sites (fractional):
Mn  0.0000  0.0000  0.0000 x2
Fe  0.0000  0.0000  0.5000 x2
Fe  0.0000  0.5000  0.2500 x2
Rh  0.0000  0.5000  0.7500 x2